# 1
# TaBeSi2, relaxed, DFT GGA-PBE
data_TaBeSi2
_chemical_formula_sum 'Ta1 Be1 Si2'
_cell_length_a 4.8499
_cell_length_b 4.8499
_cell_length_c 4.4835
_cell_angle_alpha 87.11
_cell_angle_beta 87.11
_cell_angle_gamma 32.74
_symmetry_space_group_name_H-M 'P 1'
_symmetry_Int_Tables_number 1
loop_
_symmetry_equiv_pos_as_xyz
'x,y,z'
loop_
_atom_site_label
_atom_site_type_symbol
_atom_site_fract_x
_atom_site_fract_y
_atom_site_fract_z
Si1 Si 0.7627 0.7627 0.7201
Si2 Si 0.9926 0.9926 0.0178
Be1 Be 0.2398 0.2398 0.2535
Ta1 Ta 0.5049 0.5049 0.5087
# Energy relative to the elements, uncorrected ... 78 meV per atom
# Space group ... Cm (8)
# Final energy ... -6.53 eV per atom
# DOS(E_F) ... 0.3505 states/eV per atom

---

# 2
# TaBeSi2, relaxed, DFT GGA-PBE
data_TaBeSi2
_chemical_formula_sum 'Ta1 Be1 Si2'
_cell_length_a 7.8848
_cell_length_b 7.8848
_cell_length_c 7.8848
_cell_angle_alpha 21.42
_cell_angle_beta 21.42
_cell_angle_gamma 21.42
_symmetry_space_group_name_H-M 'P 1'
_symmetry_Int_Tables_number 1
loop_
_symmetry_equiv_pos_as_xyz
'x,y,z'
loop_
_atom_site_label
_atom_site_type_symbol
_atom_site_fract_x
_atom_site_fract_y
_atom_site_fract_z
Ta1 Ta 0.4979 0.4979 0.4979
Si1 Si 0.0043 0.0043 0.0043
Si2 Si 0.2560 0.2560 0.2560
Be1 Be 0.7417 0.7417 0.7417
# Energy relative to the elements, uncorrected ... 238 meV per atom
# Space group ... R3m (160)
# Final energy ... -6.37 eV per atom
# DOS(E_F) ... 0.4485 states/eV per atom

---

# 3
# ThTaBe2Si2, relaxed, DFT GGA-PBE
data_ThTaBe2Si2
_chemical_formula_sum 'Th1 Ta1 Be2 Si2'
_cell_length_a 3.7662
_cell_length_b 3.7662
_cell_length_c 7.6775
_cell_angle_alpha 90.00
_cell_angle_beta 90.00
_cell_angle_gamma 120.00
_symmetry_space_group_name_H-M 'P 1'
_symmetry_Int_Tables_number 1
loop_
_symmetry_equiv_pos_as_xyz
'x,y,z'
loop_
_atom_site_label
_atom_site_type_symbol
_atom_site_fract_x
_atom_site_fract_y
_atom_site_fract_z
Si1 Si 0.6667 0.3333 0.2807
Si2 Si 0.3333 0.6667 0.7193
Be1 Be 0.6667 0.3333 0.7062
Be2 Be 0.3333 0.6667 0.2938
Th1 Th 0.0000 0.0000 0.0000
Ta1 Ta 0.0000 0.0000 0.5000
# Energy relative to the elements, uncorrected ... -473 meV per atom
# Space group ... P-3m1 (164)
# Final energy ... -6.74 eV per atom
# DOS(E_F) ... 0.3304 states/eV per atom

---

# 4
# TaBe2VSi, relaxed, DFT GGA-PBE
data_TaBe2VSi
_chemical_formula_sum 'Ta1 Be2 V1 Si1'
_cell_length_a 4.4587
_cell_length_b 4.4587
_cell_length_c 4.5283
_cell_angle_alpha 90.00
_cell_angle_beta 90.00
_cell_angle_gamma 90.00
_symmetry_space_group_name_H-M 'P 1'
_symmetry_Int_Tables_number 1
loop_
_symmetry_equiv_pos_as_xyz
'x,y,z'
loop_
_atom_site_label
_atom_site_type_symbol
_atom_site_fract_x
_atom_site_fract_y
_atom_site_fract_z
Ta1 Ta 0.0000 0.0000 0.0000
Be1 Be 0.0000 0.5000 0.0000
Be2 Be 0.5000 0.0000 0.0000
V1 V 0.0000 0.0000 0.5000
Si1 Si 0.5000 0.5000 0.5000
# Energy relative to the elements, uncorrected ... 1646 meV per atom
# Space group ... P4/mmm (123)
# Final energy ... -5.12 eV per atom
# DOS(E_F) ... 0.7427 states/eV per atom

---

# 5
# TaBeSi2W, relaxed, DFT GGA-PBE
data_TaBeSi2W
_chemical_formula_sum 'Ta1 Be1 Si2 W1'
_cell_length_a 4.7910
_cell_length_b 4.8915
_cell_length_c 4.7910
_cell_angle_alpha 90.00
_cell_angle_beta 90.00
_cell_angle_gamma 90.00
_symmetry_space_group_name_H-M 'P 1'
_symmetry_Int_Tables_number 1
loop_
_symmetry_equiv_pos_as_xyz
'x,y,z'
loop_
_atom_site_label
_atom_site_type_symbol
_atom_site_fract_x
_atom_site_fract_y
_atom_site_fract_z
Be1 Be 0.5000 0.5000 0.5000
Si1 Si 0.5000 0.0000 0.0000
Si2 Si 0.0000 0.0000 0.5000
Ta1 Ta 0.0000 0.0000 0.0000
W1 W 0.0000 0.5000 0.0000
# Energy relative to the elements, uncorrected ... 1793 meV per atom
# Space group ... P4/mmm (123)
# Final energy ... -6.08 eV per atom
# DOS(E_F) ... 1.1837 states/eV per atom

---

# 6
# Tb2BeSi, relaxed, DFT GGA-PBE
data_Tb2BeSi
_chemical_formula_sum 'Tb2 Be1 Si1'
_cell_length_a 4.0900
_cell_length_b 4.0900
_cell_length_c 9.2602
_cell_angle_alpha 77.24
_cell_angle_beta 77.24
_cell_angle_gamma 60.00
_symmetry_space_group_name_H-M 'P 1'
_symmetry_Int_Tables_number 1
loop_
_symmetry_equiv_pos_as_xyz
'x,y,z'
loop_
_atom_site_label
_atom_site_type_symbol
_atom_site_fract_x
_atom_site_fract_y
_atom_site_fract_z
Si1 Si 0.5000 0.5000 0.5000
Tb1 Tb 0.8899 0.8899 0.3302
Tb2 Tb 0.1101 0.1101 0.6698
Be1 Be 0.0000 0.0000 0.0000
# Energy relative to the elements, uncorrected ... 532 meV per atom
# Space group ... R-3m (166)
# Final energy ... -4.07 eV per atom
# DOS(E_F) ... 1.2306 states/eV per atom

---

> The highest DOS(E_F) belongs to which entry?

Tb2BeSi

---

> The highest energy relative to the elements, uncorrected belongs to which entry?

TaBeSi2W